1.
{
  "formula": "PmMg3Cd3",
  "functional": "GGA-PBE",
  "state": "relaxed",
  "final_energy_ev_per_cell": -19.04,
  "formation_enthalpy_0k_ev_per_atom": 0.394,
  "lattice": [[7.5225, 0.0000, 0.0000], [0.0000, 7.5225, 0.0000], [0.0000, 0.0000, 7.5225]],
  "species": ["Mg", "Mg", "Mg", "Mg", "Mg", "Mg", "Cd", "Cd", "Cd", "Cd", "Cd", "Cd", "Pm", "Pm"],
  "fractional_positions": [[0.0000, 0.2500, 0.5000], [0.0000, 0.7500, 0.5000], [0.5000, 0.0000, 0.7500], [0.7500, 0.5000, 0.0000], [0.5000, 0.0000, 0.2500], [0.2500, 0.5000, 0.0000], [0.2500, 0.0000, 0.5000], [0.0000, 0.5000, 0.2500], [0.5000, 0.7500, 0.0000], [0.7500, 0.0000, 0.5000], [0.0000, 0.5000, 0.7500], [0.5000, 0.2500, 0.0000], [0.5000, 0.5000, 0.5000], [0.0000, 0.0000, 0.0000]]
}

---

2.
{
  "formula": "Cs2NaH4Au",
  "functional": "GGA-PBE",
  "state": "relaxed",
  "final_energy_ev_per_cell": -41.97,
  "lattice": [[5.4438, 0.0000, 0.0000], [2.7219, 6.2860, 0.0000], [2.7219, 0.0000, 11.4452]],
  "species": ["Cs", "Cs", "Cs", "Cs", "Na", "Na", "H", "H", "H", "H", "H", "H", "H", "H", "Au", "Au"],
  "fractional_positions": [[0.1732, 0.0000, 0.6537], [0.8268, 0.0000, 0.3463], [0.5768, 0.5000, 0.8463], [0.9232, 0.5000, 0.1537], [0.7500, 0.5000, 0.5000], [0.0000, 0.0000, 0.0000], [0.3604, 0.8255, 0.0897], [0.2756, 0.1745, 0.9103], [0.8141, 0.8255, 0.9103], [0.5499, 0.1745, 0.0897], [0.3896, 0.6745, 0.4103], [0.4744, 0.3255, 0.5897], [0.9359, 0.6745, 0.5897], [0.2001, 0.3255, 0.4103], [0.2500, 0.5000, 0.5000], [0.5000, 0.0000, 0.0000]]
}

---

3.
{
  "formula": "La5Er2Tl4",
  "functional": "GGA-PBE",
  "state": "relaxed",
  "final_energy_ev_per_cell": -45.77,
  "formation_enthalpy_0k_ev_per_atom": -0.231,
  "lattice": [[-0.0997, -2.5802, 2.3354], [7.1055, 3.5160, 4.1877], [-5.7809, 6.3481, 6.7667]],
  "species": ["La", "La", "La", "La", "La", "Er", "Er", "Tl", "Tl", "Tl", "Tl"],
  "fractional_positions": [[0.0000, 0.4652, 0.3383], [0.0000, 0.8407, 0.1375], [0.0000, 0.5000, 0.0000], [0.0000, 0.1593, 0.8625], [0.0000, 0.5348, 0.6617], [0.0000, 0.9224, 0.6390], [0.0000, 0.0776, 0.3610], [0.5000, 0.2358, 0.5734], [0.5000, 0.8005, 0.8693], [0.5000, 0.7642, 0.4266], [0.5000, 0.1995, 0.1307]]
}

---

4.
{
  "formula": "DyGeRh",
  "functional": "GGA-PBE",
  "state": "relaxed",
  "final_energy_ev_per_cell": -112.58,
  "formation_enthalpy_0k_ev_per_atom": -0.731,
  "lattice": [[-1.3183, 3.4436, -4.1866], [-2.4842, -1.9981, -4.5783], [-12.5685, 2.5260, 2.3183]],
  "species": ["Dy", "Dy", "Dy", "Dy", "Dy", "Dy", "Rh", "Rh", "Rh", "Rh", "Rh", "Rh", "Ge", "Ge", "Ge", "Ge", "Ge", "Ge"],
  "fractional_positions": [[0.7391, 0.7391, 0.7826], [0.2609, 0.2609, 0.2174], [0.0465, 0.0465, 0.8604], [0.9535, 0.9535, 0.1396], [0.1797, 0.1797, 0.4610], [0.8203, 0.8203, 0.5390], [0.2122, 0.7238, 0.3402], [0.7238, 0.2122, 0.3402], [0.7238, 0.7238, 0.3402], [0.7878, 0.2762, 0.6598], [0.2762, 0.7878, 0.6598], [0.2762, 0.2762, 0.6598], [0.3976, 0.3976, 0.8072], [0.6024, 0.6024, 0.1928], [0.0000, 0.5000, 0.0000], [0.5000, 0.0000, 0.0000], [0.5000, 0.5000, 0.0000], [0.5000, 0.5000, 0.5000]]
}

---

5.
{
  "formula": "CeDy4Er3",
  "functional": "GGA-PBE",
  "state": "relaxed",
  "final_energy_ev_per_cell": -75.50,
  "formation_enthalpy_0k_ev_per_atom": 0.035,
  "lattice": [[6.2184, 0.0000, 0.0000], [0.0000, 7.1998, 0.0000], [0.0000, 0.0000, 11.2339]],
  "species": ["Ce", "Ce", "Dy", "Dy", "Dy", "Dy", "Dy", "Dy", "Dy", "Dy", "Er", "Er", "Er", "Er", "Er", "Er"],
  "fractional_positions": [[0.1470, 0.3761, 0.0000], [0.6470, 0.6239, 0.5000], [0.1449, 0.8730, 0.0000], [0.6476, 0.1278, 0.0000], [0.9843, 0.1269, 0.2501], [0.4843, 0.8731, 0.2499], [0.1476, 0.8722, 0.5000], [0.6449, 0.1270, 0.5000], [0.4843, 0.8731, 0.7501], [0.9843, 0.1269, 0.7499], [0.6494, 0.6231, 0.0000], [0.9790, 0.6230, 0.2502], [0.4790, 0.3770, 0.2498], [0.1494, 0.3769, 0.5000], [0.4790, 0.3770, 0.7502], [0.9790, 0.6230, 0.7498]]
}

---

6.
{
  "formula": "PuAlF5",
  "functional": "GGA-PBE",
  "state": "relaxed",
  "final_energy_ev_per_cell": -101.39,
  "formation_energy_uncorrected_ev_per_atom": -3.324,
  "lattice": [[-1.9220, -3.6127, -3.9245], [-2.7072, -3.9562, 3.0277], [-7.0679, 1.1983, -0.7391]],
  "species": ["Pu", "Pu", "Al", "Al", "F", "F", "F", "F", "F", "F", "F", "F", "F", "F"],
  "fractional_positions": [[0.5340, 0.4660, 0.2500], [0.4660, 0.5340, 0.7500], [0.0000, 0.0000, 0.0000], [0.0000, 0.0000, 0.5000], [0.8474, 0.7299, 0.1128], [0.1997, 0.7007, 0.4744], [0.7299, 0.8474, 0.6128], [0.9313, 0.0687, 0.2500], [0.2993, 0.8003, 0.0256], [0.7007, 0.1997, 0.9744], [0.0687, 0.9313, 0.7500], [0.2701, 0.1526, 0.3872], [0.8003, 0.2993, 0.5256], [0.1526, 0.2701, 0.8872]]
}

---

7.
{
  "formula": "Tl2HgPbBr6",
  "functional": "GGA-PBE",
  "state": "relaxed",
  "final_energy_ev_per_cell": -26.05,
  "formation_energy_uncorrected_ev_per_atom": -0.727,
  "lattice": [[8.0123, 0.0115, -0.0037], [4.0162, 6.9278, -0.0148], [4.0067, 2.3008, 6.6987]],
  "species": ["Tl", "Tl", "Hg", "Pb", "Br", "Br", "Br", "Br", "Br", "Br"],
  "fractional_positions": [[0.5326, 0.5332, 0.4021], [0.0339, 0.0340, 0.9002], [0.3165, 0.3145, 0.0521], [0.8162, 0.8161, 0.5500], [0.5801, 0.1703, 0.2622], [0.1693, 0.9874, 0.2610], [0.9878, 0.5824, 0.2588], [0.4737, 0.6544, 0.7763], [0.6544, 0.0964, 0.7771], [0.0973, 0.4730, 0.7753]]
}

---

8.
{
  "formula": "CeZnH",
  "functional": "GGA-PBE",
  "state": "relaxed",
  "final_energy_ev_per_cell": -10.85,
  "lattice": [[-0.0392, -3.1394, 1.5931], [-0.2313, 0.1971, -3.5076], [4.9354, -0.2335, -0.3386]],
  "species": ["H", "Zn", "Ce"],
  "fractional_positions": [[0.3333, 0.6667, 0.6242], [0.0000, 0.0000, 0.9352], [0.6667, 0.3333, 0.4407]]
}

---

9.
{
  "formula": "La3Nd2Sm6",
  "functional": "GGA-PBE",
  "state": "relaxed",
  "final_energy_ev_per_cell": -49.96,
  "formation_enthalpy_0k_ev_per_atom": 0.243,
  "lattice": [[4.8815, 0.0000, 0.0000], [0.0000, 4.8815, 0.0000], [-2.4408, -2.4408, 16.9366]],
  "species": ["La", "La", "La", "Nd", "Nd", "Sm", "Sm", "Sm", "Sm", "Sm", "Sm"],
  "fractional_positions": [[0.0000, 0.0000, 0.0000], [0.7945, 0.7945, 0.5891], [0.2055, 0.2055, 0.4109], [0.4545, 0.4545, 0.9089], [0.5455, 0.5455, 0.0911], [0.1192, 0.6192, 0.2384], [0.6192, 0.1192, 0.2384], [0.8808, 0.3808, 0.7616], [0.3808, 0.8808, 0.7616], [0.6919, 0.6919, 0.3837], [0.3081, 0.3081, 0.6163]]
}

---

10.
{
  "formula": "K2Te2Ir",
  "functional": "GGA-PBE",
  "state": "relaxed",
  "final_energy_ev_per_cell": -17.57,
  "formation_energy_uncorrected_ev_per_atom": -0.047,
  "lattice": [[4.3721, 4.9758, 0.9684], [-5.4727, 3.7374, 0.9451], [0.6708, -5.4059, 3.8907]],
  "species": ["K", "K", "Te", "Te", "Ir"],
  "fractional_positions": [[0.2500, 0.7500, 0.5000], [0.7500, 0.2500, 0.5000], [0.2760, 0.2760, 0.0000], [0.7240, 0.7240, 0.0000], [0.0000, 0.0000, 0.0000]]
}

---

11.
{
  "formula": "CaLa2OsC",
  "functional": "GGA-PBE",
  "state": "relaxed",
  "final_energy_ev_per_cell": -32.54,
  "formation_enthalpy_0k_ev_per_atom": -0.047,
  "lattice": [[-4.1327, -1.7305, 3.0933], [2.9396, -4.3283, 1.5059], [1.4587, 2.0720, 3.1080]],
  "species": ["Ca", "Os", "C", "La", "La"],
  "fractional_positions": [[0.5000, 0.5000, 0.5000], [0.0000, 0.0000, 0.5000], [0.0000, 0.0000, 0.0000], [0.0000, 0.5000, 0.0000], [0.5000, 0.0000, 0.0000]]
}

---

12.
{
  "formula": "AlAg7",
  "functional": "GGA-PBE",
  "state": "relaxed",
  "final_energy_ev_per_cell": -23.81,
  "formation_enthalpy_0k_ev_per_atom": -0.013,
  "lattice": [[-5.4038, 4.0927, -2.4315], [-1.8790, -2.2131, 0.4508], [0.9582, 0.6347, 7.1093]],
  "species": ["Ag", "Ag", "Ag", "Ag", "Ag", "Ag", "Ag", "Al"],
  "fractional_positions": [[0.9887, 0.0000, 0.9827], [0.1337, 0.5000, 0.3663], [0.2327, 0.0000, 0.7387], [0.3750, 0.5000, 0.1250], [0.5173, 0.0000, 0.5113], [0.6163, 0.5000, 0.8837], [0.7613, 0.0000, 0.2673], [0.8750, 0.5000, 0.6250]]
}

---

13.
{
  "formula": "TmNbClO4",
  "functional": "GGA-PBE",
  "state": "relaxed",
  "final_energy_ev_per_cell": -107.77,
  "formation_energy_uncorrected_ev_per_atom": -2.523,
  "lattice": [[6.7432, 0.6763, -0.2595], [2.8718, 6.1385, -0.2595], [1.6793, 1.1902, 6.6625]],
  "species": ["Tm", "Tm", "Nb", "Nb", "Cl", "Cl", "O", "O", "O", "O", "O", "O", "O", "O"],
  "fractional_positions": [[0.2865, 0.2865, 0.8605], [0.7135, 0.7135, 0.1395], [0.6379, 0.6379, 0.7238], [0.3621, 0.3621, 0.2762], [0.0216, 0.0216, 0.1291], [0.9784, 0.9784, 0.8709], [0.2941, 0.2941, 0.5450], [0.7059, 0.7059, 0.4550], [0.0975, 0.5100, 0.1406], [0.5256, 0.5256, 0.2219], [0.4900, 0.9025, 0.8594], [0.5100, 0.0975, 0.1406], [0.4744, 0.4744, 0.7781], [0.9025, 0.4900, 0.8594]]
}

---

14.
{
  "formula": "ZrTaNbPd",
  "functional": "GGA-PBE",
  "state": "relaxed",
  "final_energy_ev_per_cell": -34.82,
  "formation_enthalpy_0k_ev_per_atom": 0.212,
  "lattice": [[2.8759, 0.0000, 0.0000], [0.0000, 2.8109, 0.0000], [-1.4379, 0.0000, 9.6789]],
  "species": ["Zr", "Ta", "Nb", "Pd"],
  "fractional_positions": [[0.6284, 0.0000, 0.2568], [0.8571, 0.5000, 0.7143], [0.4729, 0.0000, 0.9459], [0.2377, 0.5000, 0.4753]]
}

---

15.
{
  "formula": "DyCoCuGe2",
  "functional": "GGA-PBE",
  "state": "relaxed",
  "final_energy_ev_per_cell": -27.56,
  "formation_enthalpy_0k_ev_per_atom": -0.503,
  "lattice": [[4.0551, 0.0000, 0.0000], [0.0000, 4.0551, 0.0000], [-2.0275, -2.0275, 5.0256]],
  "species": ["Dy", "Co", "Cu", "Ge", "Ge"],
  "fractional_positions": [[0.0000, 0.0000, 0.0000], [0.7500, 0.2500, 0.5000], [0.2500, 0.7500, 0.5000], [0.6252, 0.6252, 0.2503], [0.3748, 0.3748, 0.7497]]
}

---

16.
{
  "formula": "CsGaAg2F8",
  "functional": "GGA-PBE",
  "state": "relaxed",
  "final_energy_ev_per_cell": -47.13,
  "formation_energy_uncorrected_ev_per_atom": -1.881,
  "lattice": [[5.5736, 0.2117, 0.7045], [0.2750, 5.3207, 0.7726], [1.1890, 1.2069, 7.5487]],
  "species": ["Cs", "Ga", "Ag", "Ag", "F", "F", "F", "F", "F", "F", "F", "F"],
  "fractional_positions": [[0.0000, 0.0000, 0.5000], [0.0000, 0.0000, 0.0000], [0.3739, 0.4866, 0.7373], [0.6261, 0.5134, 0.2627], [0.0453, 0.7353, 0.2118], [0.7308, 0.7997, 0.9994], [0.7618, 0.1830, 0.1647], [0.9547, 0.2647, 0.7882], [0.2692, 0.2003, 0.0006], [0.2382, 0.8170, 0.8353], [0.4954, 0.7359, 0.4596], [0.5046, 0.2641, 0.5404]]
}

---

17.
{
  "formula": "SrTa2Te",
  "functional": "GGA-PBE",
  "state": "relaxed",
  "final_energy_ev_per_cell": -25.89,
  "formation_energy_uncorrected_ev_per_atom": 0.661,
  "lattice": [[5.1988, -0.0521, 0.0000], [0.7797, 5.1402, 0.0000], [-2.9892, -2.5441, 3.4091]],
  "species": ["Sr", "Ta", "Ta", "Te"],
  "fractional_positions": [[0.7500, 0.2500, 0.5000], [0.0000, 0.0000, 0.0000], [0.2500, 0.7500, 0.5000], [0.5000, 0.5000, 0.0000]]
}

---

18.
{
  "formula": "Zn2TeP",
  "functional": "GGA-PBE",
  "state": "relaxed",
  "final_energy_ev_per_cell": -11.55,
  "formation_energy_uncorrected_ev_per_atom": -0.112,
  "lattice": [[1.6636, 3.8723, 0.0240], [-1.6636, 3.8723, 0.0240], [0.0000, 3.2668, 7.0223]],
  "species": ["Zn", "Zn", "Te", "P"],
  "fractional_positions": [[0.0530, 0.0530, 0.0287], [0.1081, 0.1081, 0.3991], [0.8931, 0.8931, 0.7894], [0.4458, 0.4458, 0.2828]]
}

---

19.
{
  "formula": "Pa2InTc",
  "functional": "GGA-PBE",
  "state": "relaxed",
  "final_energy_ev_per_cell": -31.46,
  "formation_enthalpy_0k_ev_per_atom": 0.159,
  "lattice": [[-4.3047, 1.0791, 1.7023], [-3.7439, -2.7078, -1.1151], [-1.8434, -3.2964, 4.0639]],
  "species": ["Pa", "Pa", "Tc", "In"],
  "fractional_positions": [[0.7637, 0.7637, 0.7090], [0.2363, 0.2363, 0.2910], [0.5000, 0.5000, 0.5000], [0.0000, 0.0000, 0.0000]]
}

---

20.
{
  "formula": "Er8Hg2Pt",
  "functional": "GGA-PBE",
  "state": "relaxed",
  "final_energy_ev_per_cell": -47.57,
  "formation_enthalpy_0k_ev_per_atom": -0.402,
  "lattice": [[-0.8394, -3.0421, -4.0327], [0.8461, -5.4460, 3.9322], [-8.2720, 3.1767, 2.5766]],
  "species": ["Er", "Er", "Er", "Er", "Er", "Er", "Er", "Er", "Hg", "Hg", "Pt"],
  "fractional_positions": [[0.4114, 0.5621, 0.8229], [0.6551, 0.9676, 0.3102], [0.7957, 0.6813, 0.5914], [0.9767, 0.2243, 0.9533], [0.2043, 0.3187, 0.4086], [0.3449, 0.0324, 0.6898], [0.5886, 0.4379, 0.1771], [0.0233, 0.7757, 0.0467], [0.8111, 0.2628, 0.6222], [0.1889, 0.7372, 0.3778], [0.5000, 0.0000, 0.0000]]
}

---

21.
{
  "formula": "CdSnSb",
  "functional": "GGA-PBE",
  "state": "relaxed",
  "final_energy_ev_per_cell": -8.84,
  "formation_energy_uncorrected_ev_per_atom": 0.066,
  "lattice": [[-2.5267, -0.9760, 1.3487], [3.0910, -3.0677, 3.5709], [-1.3588, 5.3093, 1.2964]],
  "species": ["Sb", "Sn", "Cd"],
  "fractional_positions": [[0.3336, 0.3333, 0.6667], [0.3330, 0.6667, 0.3333], [0.3333, 0.0000, 0.0000]]
}

---

22.
{
  "formula": "CsSr2YPb",
  "functional": "GGA-PBE",
  "state": "relaxed",
  "final_energy_ev_per_cell": -12.96,
  "formation_enthalpy_0k_ev_per_atom": 0.287,
  "lattice": [[-1.7357, 6.5610, 0.7538], [-4.3842, -0.6875, -4.1114], [-4.3733, -1.7259, 4.9521]],
  "species": ["Pb", "Cs", "Y", "Sr", "Sr"],
  "fractional_positions": [[0.0000, 0.5000, 0.0000], [0.5000, 0.5000, 0.5000], [0.0000, 0.0000, 0.0000], [0.0000, 0.0000, 0.5000], [0.5000, 0.0000, 0.0000]]
}

---

23.
{
  "formula": "Ce4SbP2O",
  "functional": "GGA-PBE",
  "state": "relaxed",
  "final_energy_ev_per_cell": -114.30,
  "formation_energy_uncorrected_ev_per_atom": -1.689,
  "lattice": [[4.1261, 0.0000, 0.0000], [-2.0631, 6.8457, 0.0000], [0.0000, 0.0000, 14.3283]],
  "species": ["Ce", "Ce", "Ce", "Ce", "Ce", "Ce", "Ce", "Ce", "Sb", "Sb", "P", "P", "P", "P", "O", "O"],
  "fractional_positions": [[0.2657, 0.5314, 0.1195], [0.7343, 0.4686, 0.6195], [0.7343, 0.4686, 0.8805], [0.2657, 0.5314, 0.3805], [0.0000, 0.0000, 0.5000], [0.0000, 0.0000, 0.0000], [0.4210, 0.8420, 0.7500], [0.5790, 0.1580, 0.2500], [0.1024, 0.2047, 0.7500], [0.8976, 0.7953, 0.2500], [0.3652, 0.7304, 0.5572], [0.6348, 0.2696, 0.0572], [0.6348, 0.2696, 0.4428], [0.3652, 0.7304, 0.9428], [0.8320, 0.6641, 0.7500], [0.1680, 0.3359, 0.2500]]
}